[1]
Zr2ZnPd6 (PBE, optimized geometry); magnetization = 0.00 μB/atom; symmetry = Cmmm (65); total energy = -5.991 eV per atom
1.0
3.557 -6.923 0.000
3.557 6.923 0.000
0.000 0.000 3.193
Zr Zn Pd
2 1 6
Cartesian
3.557 4.320 0.000 Zr
3.557 -4.320 0.000 Zr
3.557 0.000 1.597 Zn
2.184 2.179 1.597 Pd
1.388 0.000 0.000 Pd
2.184 -2.179 1.597 Pd
4.930 2.179 1.597 Pd
5.726 0.000 0.000 Pd
4.930 -2.179 1.597 Pd

[2]
ZrZn4Pd5 (PBE, optimized geometry); magnetization = 0.00 μB/atom; symmetry = P4/mmm (123); total energy = -4.533 eV per atom
1.0
3.077 0.000 0.000
0.000 3.077 0.000
0.000 0.000 16.114
Zr Zn Pd
1 4 5
Cartesian
0.000 0.000 0.000 Zr
0.000 0.000 3.477 Zn
0.000 0.000 6.540 Zn
0.000 0.000 9.574 Zn
0.000 0.000 12.637 Zn
1.539 1.539 1.951 Pd
1.539 1.539 5.027 Pd
1.539 1.539 8.057 Pd
1.539 1.539 11.088 Pd
1.539 1.539 14.163 Pd

Calculated values (meV per atom) of ΔH_f (0 K) for the records, taken in order: -488 -572.
Calculated values (Å³/atom) of calculated volume for the records, taken in order: 17.48 15.26.
Calculated values (states/eV per cell) of Fermi-level density of states for the records, taken in order: 3.52 4.24.